A plane-wave DFT calculation with PBE-GGA was carried out for a relaxed DyZn6Au6 crystal.

a = 5.2547 Å, b = 9.0658 Å, c = 9.3835 Å
α = 90.00°, β = 90.00°, γ = 90.00°
Space group Immm (No. 71)
Asymmetric unit:
Dy  0.0000  0.0000  0.0000
Zn  0.0000  0.2569  0.5000
Zn  0.2500  0.2500  0.2500
Au  0.0000  0.0000  0.3377
Au  0.0000  0.3345  0.0000
Au  0.0000  0.5000  0.3272

Calculated values
Its energy of formation is -0.369 eV per atom. Its total energy is -2.814 eV/atom. Its total moment is 0.00 μB per formula unit.

---

A plane-wave DFT calculation with PBE-GGA was carried out for a relaxed Dy2Zn15Au2 crystal.

a = 9.0109 Å, b = 9.0109 Å, c = 13.1931 Å
α = 90.00°, β = 90.00°, γ = 120.00°
Space group R-3m (No. 166, hexagonal axes)
Asymmetric unit:
Dy  0.0000  0.0000  0.1602
Zn  0.0000  0.2970  0.5000
Zn  0.0000  0.5000  0.0000
Zn  0.0119  0.5059  0.6522
Au  0.0000  0.0000  0.3889

Calculated values
Its energy of formation is -0.283 eV per atom. Its total energy is -2.109 eV/atom. Its total moment is 0.00 μB per formula unit.

---

Calculated density per entry: 12.90, 9.13 g/cm3